1.
Below is a relaxed Pm2DySi2Pt7 crystal, with properties calculated at the PBE level.

Structure (CIF):
```
data_Pm2DySi2Pt7
_chemical_formula_sum 'Pm2 Dy1 Si2 Pt7'
_space_group_name_H-M_alt 'P 1'
_space_group_IT_number 1
_cell_length_a 4.079
_cell_length_b 4.079
_cell_length_c 13.852
_cell_angle_alpha 95.62
_cell_angle_beta 95.62
_cell_angle_gamma 89.49
loop_
_space_group_symop_operation_xyz
'x,y,z'
loop_
_atom_site_label
_atom_site_fract_x
_atom_site_fract_y
_atom_site_fract_z
Pm1 0.106 0.106 0.355
Pm2 0.894 0.894 0.645
Dy1 0.000 0.000 0.000
Si1 0.415 0.415 0.747
Si2 0.585 0.585 0.253
Pt1 0.054 0.553 0.159
Pt2 0.381 0.381 0.576
Pt3 0.447 0.946 0.841
Pt4 0.500 0.500 0.000
Pt5 0.553 0.054 0.159
Pt6 0.619 0.619 0.424
Pt7 0.946 0.447 0.841
```

Output
Fermi-level density of states: 5.38 states/eV/cell
ΔE_f (raw): -108.0 kJ/mol of atoms



2.
Below is a relaxed PmDySnPt crystal, with properties calculated at the PBE level.

Structure (CIF):
```
data_PmDySnPt
_chemical_formula_sum 'Pm1 Dy1 Sn1 Pt1'
_space_group_name_H-M_alt 'P 1'
_space_group_IT_number 1
_cell_length_a 5.215
_cell_length_b 5.215
_cell_length_c 5.215
_cell_angle_alpha 60.00
_cell_angle_beta 60.00
_cell_angle_gamma 60.00
loop_
_space_group_symop_operation_xyz
'x,y,z'
loop_
_atom_site_label
_atom_site_fract_x
_atom_site_fract_y
_atom_site_fract_z
Pm1 0.000 0.000 0.000
Dy1 0.500 0.500 0.500
Sn1 0.750 0.750 0.750
Pt1 0.250 0.250 0.250
```

Output
Fermi-level density of states: 1.72 states/eV/cell
Calculated formation energy: -817 meV per atom



3.
Below is a relaxed Pm2DySn3Pt4 crystal, with properties calculated at the PBE level.

Structure (CIF):
```
data_Pm2DySn3Pt4
_chemical_formula_sum 'Pm2 Dy1 Sn3 Pt4'
_space_group_name_H-M_alt 'P 1'
_space_group_IT_number 1
_cell_length_a 4.576
_cell_length_b 4.576
_cell_length_c 11.200
_cell_angle_alpha 90.00
_cell_angle_beta 90.00
_cell_angle_gamma 90.00
loop_
_space_group_symop_operation_xyz
'x,y,z'
loop_
_atom_site_label
_atom_site_fract_x
_atom_site_fract_y
_atom_site_fract_z
Pm1 0.000 0.500 0.216
Pm2 0.500 0.000 0.784
Dy1 0.000 0.000 0.500
Sn1 0.000 0.500 0.874
Sn2 0.500 0.000 0.126
Sn3 0.500 0.500 0.500
Pt1 0.000 0.000 0.000
Pt2 0.000 0.500 0.643
Pt3 0.500 0.000 0.357
Pt4 0.500 0.500 0.000
```

Output
Fermi-level density of states: 7.43 states/eV/cell
Calculated formation energy: -899 meV per atom



4.
Below is a relaxed Pm2DyZn3Pt4 crystal, with properties calculated at the PBE level.

Structure (CIF):
```
data_Pm2DyZn3Pt4
_chemical_formula_sum 'Pm2 Dy1 Zn3 Pt4'
_space_group_name_H-M_alt 'P 1'
_space_group_IT_number 1
_cell_length_a 4.171
_cell_length_b 4.171
_cell_length_c 11.720
_cell_angle_alpha 90.00
_cell_angle_beta 90.00
_cell_angle_gamma 90.00
loop_
_space_group_symop_operation_xyz
'x,y,z'
loop_
_atom_site_label
_atom_site_fract_x
_atom_site_fract_y
_atom_site_fract_z
Pm1 0.000 0.500 0.224
Pm2 0.500 0.000 0.776
Dy1 0.000 0.000 0.500
Zn1 0.000 0.500 0.874
Zn2 0.500 0.000 0.126
Zn3 0.500 0.500 0.500
Pt1 0.000 0.000 0.000
Pt2 0.000 0.500 0.659
Pt3 0.500 0.000 0.341
Pt4 0.500 0.500 0.000
```

Output
Fermi-level density of states: 4.58 states/eV/cell
Calculated formation energy: -831 meV per atom